Entry w
Pm2GaPt2 | PBE | relaxed

a b c (Å): 5.9306 7.1339 7.3555
angles (deg): 119.01 113.77 90.00
Closest atoms and distances in Å follow each position.
Fractional coordinates of all 10 atoms:
Pm  0.8525  0.6864  0.7049  5 Pt 2.86-3.06
Pm  0.1475  0.3136  0.2951  5 Pt 2.86-3.06
Pm  0.6475  0.9815  0.2951  5 Pt 2.86-3.06
Pm  0.3525  0.0185  0.7049  5 Pt 2.86-3.06
Ga  0.7500  0.5000  0.0000  4 Pt 2.62
Ga  0.2500  0.5000  0.0000  4 Pt 2.62
Pt  0.3926  0.6430  0.7853  2 Ga 2.62, 1 Pm 2.86
Pt  0.6074  0.3570  0.2147  2 Ga 2.62, 1 Pm 2.86
Pt  0.1074  0.8577  0.2147  2 Ga 2.62, 1 Pm 2.86
Pt  0.8926  0.1423  0.7853  2 Ga 2.62, 1 Pm 2.86

Space group: No. 72
Crystal system: orthorhombic
Spin magnetization: 0.000 μB per atom



Entry x
Pm2GaPt2 | PBE | relaxed

a b c (Å): 4.4123 5.6752 5.6753
angles (deg): 60.40 67.12 67.12
Closest atoms and distances in Å follow each position.
Fractional coordinates of all 5 atoms:
Pm  0.6988  0.8012  0.3011  6 Pt 3.03-3.13, 2 Ga 3.34
Pm  0.3011  0.1988  0.6988  6 Pt 3.03-3.13, 2 Ga 3.34
Ga  0.5000  0.5000  0.0000  4 Pt 2.66
Pt  0.0000  0.2401  0.2599  2 Ga 2.66, 2 Pt 2.74-2.97
Pt  0.0000  0.7599  0.7401  2 Ga 2.66, 2 Pt 2.74-2.97

Space group: No. 71
Crystal system: orthorhombic
Spin magnetization: 0.000 μB per atom



Which structure is most stable? entry x, by 79 meV/atom over the runner-up.